No. 1
Density functional theory data (GGA-PBE) for a relaxed structure of ThNpTl. Values from VASP.

- volume (A^3/atom) = 34.19
- magnetic moment (μB per atom) = 1.97
- calculated total energy (eV per atom) = -6.84
- space group = F-43m, No. 216
- crystal system = cubic

```
&SYSTEM
  ibrav = 0, nat = 3, ntyp = 3
/
ATOMIC_SPECIES
Th 232.04 Th.upf
Np 237.00 Np.upf
Tl 204.38 Tl.upf
ATOMIC_POSITIONS crystal
Th 0.000 0.000 0.000
Np 0.500 0.500 0.500
Tl 0.750 0.750 0.750
CELL_PARAMETERS angstrom
0.000 3.715 3.715
3.715 0.000 3.715
3.715 3.715 0.000
```

---

No. 2
Density functional theory data (GGA-PBE) for a relaxed structure of YThNp. Values from VASP.

- formation enthalpy at 0 K (kJ/mol of atoms) = 119
- volume (A^3/atom) = 32.86
- magnetic moment (μB per atom) = 1.59
- space group = F-43m, No. 216
- crystal system = cubic

```
&SYSTEM
  ibrav = 0, nat = 3, ntyp = 3
/
ATOMIC_SPECIES
Y 88.91 Y.upf
Th 232.04 Th.upf
Np 237.00 Np.upf
ATOMIC_POSITIONS crystal
Y 0.000 0.000 0.000
Th 0.250 0.250 0.250
Np 0.750 0.750 0.750
CELL_PARAMETERS angstrom
0.000 3.667 3.667
3.667 0.000 3.667
3.667 3.667 0.000
```

---

No. 3
Density functional theory data (GGA-PBE) for a relaxed structure of ThNpZn. Values from VASP.

- formation enthalpy at 0 K (kJ/mol of atoms) = 53
- volume (A^3/atom) = 27.76
- magnetic moment (μB per atom) = 1.55
- space group = F-43m, No. 216
- crystal system = cubic

```
&SYSTEM
  ibrav = 0, nat = 3, ntyp = 3
/
ATOMIC_SPECIES
Th 232.04 Th.upf
Np 237.00 Np.upf
Zn 65.41 Zn.upf
ATOMIC_POSITIONS crystal
Th 0.000 0.000 0.000
Np 0.500 0.500 0.500
Zn 0.750 0.750 0.750
CELL_PARAMETERS angstrom
0.000 3.466 3.466
3.466 0.000 3.466
3.466 3.466 0.000
```

---

No. 4
Density functional theory data (GGA-PBE) for a relaxed structure of ThZrNp. Values from VASP.

- formation enthalpy at 0 K (kJ/mol of atoms) = 110
- volume (A^3/atom) = 27.93
- magnetic moment (μB per atom) = 1.60
- space group = F-43m, No. 216
- crystal system = cubic

```
&SYSTEM
  ibrav = 0, nat = 3, ntyp = 3
/
ATOMIC_SPECIES
Th 232.04 Th.upf
Zr 91.22 Zr.upf
Np 237.00 Np.upf
ATOMIC_POSITIONS crystal
Th 0.000 0.000 0.000
Zr 0.250 0.250 0.250
Np 0.750 0.750 0.750
CELL_PARAMETERS angstrom
0.000 3.473 3.473
3.473 0.000 3.473
3.473 3.473 0.000
```